[1]
A plane-wave DFT calculation with PBE was carried out for Mg3Ga4Cu8 after structural relaxation.

POSCAR file:
```
Mg3Ga4Cu8
1.0
-4.923 -1.099 6.876
3.287 1.009 7.804
-2.261 6.716 4.743
Mg Cu Ga
6 16 8
direct
0.727 0.273 0.273
0.727 0.273 0.727
0.273 0.727 0.273
0.273 0.727 0.727
0.273 0.273 0.727
0.727 0.727 0.273
0.878 0.366 0.878
0.878 0.878 0.878
0.366 0.878 0.878
0.669 0.669 0.669
0.331 0.007 0.331
0.007 0.331 0.331
0.878 0.878 0.366
0.331 0.331 0.007
0.331 0.331 0.331
0.669 0.669 0.993
0.634 0.122 0.122
0.993 0.669 0.669
0.669 0.993 0.669
0.122 0.634 0.122
0.122 0.122 0.122
0.122 0.122 0.634
0.500 0.000 0.500
0.500 0.500 0.500
0.000 0.500 0.000
0.000 0.500 0.500
0.500 0.000 0.000
0.000 0.000 0.500
0.500 0.500 0.000
0.000 0.000 0.000
```

Properties
DFT formation energy (meV per atom): -157
SG: Fm-3m

=====

[2]
A plane-wave DFT calculation with PBE was carried out for MgGa2Cu6 after structural relaxation.

POSCAR file:
```
MgGa2Cu6
1.0
2.782 0.000 0.000
1.391 7.117 1.195
1.391 2.576 6.741
Cu Ga Mg
6 2 1
direct
0.674 0.650 0.002
0.326 0.998 0.350
0.326 0.350 0.998
0.674 0.002 0.650
0.500 0.329 0.671
0.500 0.671 0.329
0.151 0.349 0.349
0.849 0.651 0.651
0.000 0.000 0.000
```

Properties
DFT formation energy (meV per atom): -23
SG: Immm
Excess energy over the best structure of this formula in the dataset (meV/atom): 43

=====

[3]
A plane-wave DFT calculation with PBE was carried out for Mg4Ga5Cu2 after structural relaxation.

POSCAR file:
```
Mg4Ga5Cu2
1.0
3.174 0.000 0.000
0.000 6.848 -0.030
0.000 -0.703 8.942
Ga Mg Cu
5 4 2
direct
0.000 0.436 0.696
0.000 0.564 0.304
0.000 0.815 0.835
0.000 0.500 0.000
0.000 0.185 0.165
0.500 0.170 0.881
0.500 0.744 0.554
0.500 0.830 0.119
0.500 0.256 0.446
0.000 0.937 0.363
0.000 0.063 0.637
```

Properties
DFT formation energy (meV per atom): -136
SG: P2/m

=====

[4]
A plane-wave DFT calculation with PBE was carried out for MgGa3Cu3 after structural relaxation.

POSCAR file:
```
MgGa3Cu3
1.0
-5.201 2.511 -3.423
-3.579 0.318 5.671
2.283 6.218 1.092
Ga Mg Cu
6 2 6
direct
0.500 0.000 0.750
0.500 0.000 0.250
0.750 0.500 0.000
0.250 0.500 0.000
0.000 0.250 0.500
0.000 0.750 0.500
0.500 0.500 0.500
0.000 0.000 0.000
0.000 0.500 0.750
0.500 0.750 0.000
0.000 0.500 0.250
0.250 0.000 0.500
0.750 0.000 0.500
0.500 0.250 0.000
```

Properties
DFT formation energy (meV per atom): 387
SG: Pm-3n
Excess energy over the best structure of this formula in the dataset (meV/atom): 506

=====

Q: Which formula does entry 2 have?
A: MgGa2Cu6